The following is a DFT calculation (PBE) of KZnCl2 after structural relaxation.

Cell: 4.5522 6.0649 3.7461 Å, 90.00 90.00 90.00°
With the nearest neighbours (Å) after each atom.
Positions (direct):
Zn1 0.0000 0.5000 0.5000  4 Cl 2.95
K1 0.5000 0.0000 0.5000  4 Cl 2.95
Cl1 0.0000 0.0000 0.0000  4 K 2.95
Cl2 0.5000 0.5000 0.0000  4 Zn 2.95

Summary:
- ΔE to the lowest computed polymorph (eV/atom) = 0.184
- formation energy from raw total energies (eV/atom) = -0.9444
- density of states at the Fermi level (states/eV per atom) = 0.34
- volume (Å³ per cell) = 103.4
- SG = Pmmm